No. 1
As2SeBr | PBE | optimized geometry

Output
E = -13.51 eV for the cell shown
E_form (uncorrected) = 0.236 eV/atom

Cell and atoms, written as CIF:
```
data_As2SeBr
_cell_length_a 3.077
_cell_length_b 4.958
_cell_length_c 7.992
_cell_angle_alpha 90.00
_cell_angle_beta 90.00
_cell_angle_gamma 128.86
_space_group_name_H-M_alt 'P 1'
_space_group_IT_number 1
_space_group_name_Hall 'P 1'
loop_
_atom_site_label
_atom_site_type_symbol
_atom_site_fract_x
_atom_site_fract_y
_atom_site_fract_z
_atom_site_occupancy
As1 As 0.000 0.000 0.986 1
As2 As 0.000 0.000 0.514 1
Se1 Se 0.500 0.500 0.750 1
Br1 Br 0.500 0.500 0.250 1
```



No. 2
FeTcPb2 | PBE | optimized geometry

Output
E = -22.54 eV for the cell shown

Cell and atoms, written as CIF:
```
data_FeTcPb2
_cell_length_a 4.872
_cell_length_b 4.872
_cell_length_c 4.872
_cell_angle_alpha 60.00
_cell_angle_beta 60.00
_cell_angle_gamma 60.00
_space_group_name_H-M_alt 'P 1'
_space_group_IT_number 1
_space_group_name_Hall 'P 1'
loop_
_atom_site_label
_atom_site_type_symbol
_atom_site_fract_x
_atom_site_fract_y
_atom_site_fract_z
_atom_site_occupancy
Fe1 Fe 0.500 0.500 0.500 1
Pb1 Pb 0.000 0.000 0.000 1
Pb2 Pb 0.250 0.250 0.250 1
Tc1 Tc 0.750 0.750 0.750 1
```



No. 3
SrZrW2 | PBE | optimized geometry

Output
E = -32.84 eV for the cell shown

Cell and atoms, written as CIF:
```
data_SrZrW2
_cell_length_a 2.911
_cell_length_b 2.911
_cell_length_c 10.266
_cell_angle_alpha 90.00
_cell_angle_beta 90.00
_cell_angle_gamma 109.02
_space_group_name_H-M_alt 'P 1'
_space_group_IT_number 1
_space_group_name_Hall 'P 1'
loop_
_atom_site_label
_atom_site_type_symbol
_atom_site_fract_x
_atom_site_fract_y
_atom_site_fract_z
_atom_site_occupancy
Sr1 Sr 0.500 0.500 0.750 1
W1 W 0.000 0.000 0.023 1
W2 W 0.000 0.000 0.477 1
Zr1 Zr 0.500 0.500 0.250 1
```



No. 4
Y2TiTl2S6 | PBE | optimized geometry

Output
E = -65.78 eV for the cell shown
E_form (uncorrected) = -1.405 eV/atom

Cell and atoms, written as CIF:
```
data_Y2TiTl2S6
_cell_length_a 6.661
_cell_length_b 6.661
_cell_length_c 7.863
_cell_angle_alpha 98.49
_cell_angle_beta 98.49
_cell_angle_gamma 119.61
_space_group_name_H-M_alt 'P 1'
_space_group_IT_number 1
_space_group_name_Hall 'P 1'
loop_
_atom_site_label
_atom_site_type_symbol
_atom_site_fract_x
_atom_site_fract_y
_atom_site_fract_z
_atom_site_occupancy
Y1 Y 0.333 0.667 0.500 1
Y2 Y 0.667 0.333 0.500 1
Ti1 Ti 0.000 0.000 0.500 1
Tl1 Tl 0.829 0.171 0.000 1
Tl2 Tl 0.171 0.829 0.000 1
S1 S 0.764 0.764 0.692 1
S2 S 0.067 0.371 0.691 1
S3 S 0.236 0.236 0.308 1
S4 S 0.371 0.067 0.691 1
S5 S 0.933 0.629 0.309 1
S6 S 0.629 0.933 0.309 1
```



No. 5
TaRe2Se | PBE | optimized geometry

Output
E = -39.94 eV for the cell shown
E_form (uncorrected) = 0.073 eV/atom

Cell and atoms, written as CIF:
```
data_TaRe2Se
_cell_length_a 3.038
_cell_length_b 3.038
_cell_length_c 7.011
_cell_angle_alpha 90.00
_cell_angle_beta 90.00
_cell_angle_gamma 90.00
_space_group_name_H-M_alt 'P 1'
_space_group_IT_number 1
_space_group_name_Hall 'P 1'
loop_
_atom_site_label
_atom_site_type_symbol
_atom_site_fract_x
_atom_site_fract_y
_atom_site_fract_z
_atom_site_occupancy
Re1 Re 0.000 0.000 0.017 1
Re2 Re 0.500 0.500 0.236 1
Se1 Se 0.000 0.000 0.507 1
Ta1 Ta 0.500 0.500 0.740 1
```



No. 6
GaRhI2Cl | PBE | optimized geometry

Output
E = -12.83 eV for the cell shown
E_form (uncorrected) = 0.499 eV/atom

Cell and atoms, written as CIF:
```
data_GaRhI2Cl
_cell_length_a 6.417
_cell_length_b 4.411
_cell_length_c 6.417
_cell_angle_alpha 90.00
_cell_angle_beta 90.00
_cell_angle_gamma 90.00
_space_group_name_H-M_alt 'P 1'
_space_group_IT_number 1
_space_group_name_Hall 'P 1'
loop_
_atom_site_label
_atom_site_type_symbol
_atom_site_fract_x
_atom_site_fract_y
_atom_site_fract_z
_atom_site_occupancy
I1 I 0.000 0.000 0.500 1
I2 I 0.500 0.000 0.000 1
Rh1 Rh 0.000 0.500 0.000 1
Ga1 Ga 0.500 0.500 0.500 1
Cl1 Cl 0.000 0.000 0.000 1
```



No. 7
HfMnAgPt2 | PBE | optimized geometry

Output
E = -29.16 eV for the cell shown

Cell and atoms, written as CIF:
```
data_HfMnAgPt2
_cell_length_a 4.910
_cell_length_b 4.509
_cell_length_c 4.910
_cell_angle_alpha 90.00
_cell_angle_beta 90.00
_cell_angle_gamma 90.00
_space_group_name_H-M_alt 'P 1'
_space_group_IT_number 1
_space_group_name_Hall 'P 1'
loop_
_atom_site_label
_atom_site_type_symbol
_atom_site_fract_x
_atom_site_fract_y
_atom_site_fract_z
_atom_site_occupancy
Mn1 Mn 0.000 0.500 0.000 1
Hf1 Hf 0.500 0.500 0.500 1
Ag1 Ag 0.000 0.000 0.000 1
Pt1 Pt 0.000 0.000 0.500 1
Pt2 Pt 0.500 0.000 0.000 1
```



No. 8
ScRh2Cl | PBE | optimized geometry

Output
E = -24.13 eV for the cell shown
E_form (uncorrected) = -0.312 eV/atom

Cell and atoms, written as CIF:
```
data_ScRh2Cl
_cell_length_a 3.195
_cell_length_b 3.195
_cell_length_c 6.565
_cell_angle_alpha 90.00
_cell_angle_beta 90.00
_cell_angle_gamma 90.00
_space_group_name_H-M_alt 'P 1'
_space_group_IT_number 1
_space_group_name_Hall 'P 1'
loop_
_atom_site_label
_atom_site_type_symbol
_atom_site_fract_x
_atom_site_fract_y
_atom_site_fract_z
_atom_site_occupancy
Cl1 Cl 0.500 0.500 0.750 1
Rh1 Rh 0.000 0.000 0.023 1
Rh2 Rh 0.000 0.000 0.477 1
Sc1 Sc 0.500 0.500 0.250 1
```



What is the E in the fourth record?
-65.78 eV for the cell shown